[1]
The following is a DFT calculation (GGA-PBE) of LiEu2Tl after structural relaxation.

Cell: 7.9352 7.9352 7.9352 Å, 90.00 90.00 90.00°
Closest atoms and distances in Å follow each position.
Fractional coordinates of all 16 atoms:
Li1 0.0000 0.0000 0.0000  8 Eu 3.44
Li2 0.0000 0.5000 0.5000  8 Eu 3.44
Li3 0.5000 0.0000 0.5000  8 Eu 3.44
Li4 0.5000 0.5000 0.0000  8 Eu 3.44
Eu1 0.2500 0.2500 0.2500  4 Tl 3.44, 4 Li 3.44
Eu2 0.2500 0.2500 0.7500  4 Tl 3.44, 4 Li 3.44
Eu3 0.2500 0.7500 0.2500  4 Tl 3.44, 4 Li 3.44
Eu4 0.2500 0.7500 0.7500  4 Tl 3.44, 4 Li 3.44
Eu5 0.7500 0.2500 0.2500  4 Tl 3.44, 4 Li 3.44
Eu6 0.7500 0.2500 0.7500  4 Tl 3.44, 4 Li 3.44
Eu7 0.7500 0.7500 0.2500  4 Tl 3.44, 4 Li 3.44
Eu8 0.7500 0.7500 0.7500  4 Tl 3.44, 4 Li 3.44
Tl1 0.0000 0.0000 0.5000  8 Eu 3.44
Tl2 0.0000 0.5000 0.0000  8 Eu 3.44
Tl3 0.5000 0.0000 0.0000  8 Eu 3.44
Tl4 0.5000 0.5000 0.5000  8 Eu 3.44

Summary:
Formation enthalpy at 0 K ... -0.22 eV/atom


[2]
The following is a DFT calculation (GGA-PBE) of DyHg2Rh after structural relaxation.

Cell: 6.4081 6.4029 9.0454 Å, 90.00 110.37 90.00°
Closest atoms and distances in Å follow each position.
Fractional coordinates of all 16 atoms:
Dy1 0.1484 0.0000 0.2940  4 Rh 2.86, 2 Hg 3.20
Dy2 0.3516 0.5000 0.7060  4 Rh 2.86, 2 Hg 3.20
Dy3 0.6484 0.5000 0.2940  4 Rh 2.86, 2 Hg 3.20
Dy4 0.8516 0.0000 0.7060  4 Rh 2.86, 2 Hg 3.20
Hg1 0.1464 0.5000 0.2897  4 Rh 2.88, 4 Dy 3.20-3.21
Hg2 0.2500 0.2500 0.0000  8 Hg 3.20-3.35, 4 Dy 3.36-3.38
Hg3 0.2500 0.7500 0.0000  8 Hg 3.20-3.35, 4 Dy 3.36-3.38
Hg4 0.3536 0.0000 0.7103  4 Rh 2.88, 4 Dy 3.20-3.21
Hg5 0.6464 0.0000 0.2897  4 Rh 2.88, 4 Dy 3.20-3.21
Hg6 0.7500 0.2500 0.0000  8 Hg 3.20-3.35, 4 Dy 3.36-3.38
Hg7 0.7500 0.7500 0.0000  8 Hg 3.20-3.35, 4 Dy 3.36-3.38
Hg8 0.8536 0.5000 0.7103  4 Rh 2.88, 4 Dy 3.20-3.21
Rh1 0.0000 0.2503 0.5000  4 Dy 2.86, 4 Hg 2.88, 1 Rh 3.20
Rh2 0.0000 0.7497 0.5000  4 Dy 2.86, 4 Hg 2.88, 1 Rh 3.20
Rh3 0.5000 0.2497 0.5000  4 Dy 2.86, 4 Hg 2.88, 1 Rh 3.20
Rh4 0.5000 0.7503 0.5000  4 Dy 2.86, 4 Hg 2.88, 1 Rh 3.20

Summary:
Formation enthalpy at 0 K ... -0.47 eV/atom


[3]
The following is a DFT calculation (GGA-PBE) of NaUInBr6 after structural relaxation.

Cell: 7.5290 7.5290 14.1039 Å, 90.00 90.00 120.00°
Closest atoms and distances in Å follow each position.
Fractional coordinates of all 18 atoms:
Na1 0.3333 0.6667 0.2500  6 Br 3.02
Na2 0.6667 0.3333 0.7500  6 Br 3.02
U1 0.3333 0.6667 0.7500  6 Br 2.80
U2 0.6667 0.3333 0.2500  6 Br 2.80
In1 0.0000 0.0000 0.0000  6 Br 3.33
In2 0.0000 0.0000 0.5000  6 Br 3.33
Br1 0.0226 0.3735 0.6347  1 U 2.80, 1 Na 3.02
Br2 0.0226 0.6490 0.8653  1 U 2.80, 1 Na 3.02
Br3 0.3510 0.3735 0.8653  1 U 2.80, 1 Na 3.02
Br4 0.3510 0.9774 0.6347  1 U 2.80, 1 Na 3.02
Br5 0.3735 0.0226 0.1347  1 U 2.80, 1 Na 3.02
Br6 0.3735 0.3510 0.3653  1 U 2.80, 1 Na 3.02
Br7 0.6265 0.6490 0.6347  1 U 2.80, 1 Na 3.02
Br8 0.6265 0.9774 0.8653  1 U 2.80, 1 Na 3.02
Br9 0.6490 0.0226 0.3653  1 U 2.80, 1 Na 3.02
Br10 0.6490 0.6265 0.1347  1 U 2.80, 1 Na 3.02
Br11 0.9774 0.3510 0.1347  1 U 2.80, 1 Na 3.02
Br12 0.9774 0.6265 0.3653  1 U 2.80, 1 Na 3.02

Summary:
ΔE_f (raw) ... -1.238 eV/atom


[4]
The following is a DFT calculation (GGA-PBE) of LiCa2La after structural relaxation.

Cell: 4.1194 5.9149 5.9154 Å, 90.00 90.00 90.00°
Closest atoms and distances in Å follow each position.
Fractional coordinates of all 4 atoms:
Li1 0.0000 0.0000 0.0000  4 La 3.60, 4 Ca 3.60
Ca1 0.0000 0.5000 0.5000  4 Ca 3.60, 4 La 3.60
Ca2 0.5000 0.0000 0.5000  4 Ca 3.60, 4 Li 3.60
La1 0.5000 0.5000 0.0000  4 Li 3.60, 4 Ca 3.60

Summary:
Formation enthalpy at 0 K ... 0.13 eV/atom


[5]
The following is a DFT calculation (GGA-PBE) of CuPt6Rh8 after structural relaxation.

Cell: 7.3276 7.3276 5.2259 Å, 90.00 90.00 120.00°
Closest atoms and distances in Å follow each position.
Fractional coordinates of all 15 atoms:
Cu1 0.0000 0.0000 0.0000  6 Pt 2.57
Pt1 0.0525 0.6848 0.0955  6 Rh 2.55-2.86, 1 Cu 2.57, 3 Pt 2.62-2.72
Pt2 0.3152 0.3677 0.0955  6 Rh 2.55-2.86, 1 Cu 2.57, 3 Pt 2.62-2.72
Pt3 0.3674 0.0524 0.9016  5 Rh 2.55-2.86, 1 Cu 2.57, 3 Pt 2.62-2.72
Pt4 0.6323 0.9475 0.0955  6 Rh 2.55-2.86, 1 Cu 2.57, 3 Pt 2.62-2.72
Pt5 0.6850 0.6326 0.9016  5 Rh 2.55-2.86, 1 Cu 2.57, 3 Pt 2.62-2.72
Pt6 0.9476 0.3150 0.9016  5 Rh 2.55-2.86, 1 Cu 2.57, 3 Pt 2.62-2.72
Rh1 0.0466 0.3629 0.4111  4 Pt 2.55-2.86, 5 Rh 2.59-2.79
Rh2 0.3163 0.9534 0.4111  4 Pt 2.55-2.86, 5 Rh 2.59-2.79
Rh3 0.3333 0.6667 0.7305  6 Rh 2.73-2.79, 6 Pt 2.85-2.86
Rh4 0.3631 0.3165 0.5860  3 Pt 2.55-2.74, 5 Rh 2.59-2.79
Rh5 0.6371 0.6837 0.4111  4 Pt 2.55-2.86, 5 Rh 2.59-2.79
Rh6 0.6667 0.3333 0.2665  6 Rh 2.73-2.79, 6 Pt 2.85-2.86
Rh7 0.6835 0.0466 0.5860  3 Pt 2.55-2.74, 5 Rh 2.59-2.79
Rh8 0.9534 0.6369 0.5860  3 Pt 2.55-2.74, 5 Rh 2.59-2.79

Summary:
Formation enthalpy at 0 K ... 0.25 eV/atom


[6]
The following is a DFT calculation (GGA-PBE) of NaMnN3 after structural relaxation.

Cell: 3.8828 3.8828 3.8828 Å, 90.00 90.00 90.00°
Closest atoms and distances in Å follow each position.
Fractional coordinates of all 5 atoms:
Na1 0.0000 0.0000 0.0000  6 N 1.94
Mn1 0.5000 0.5000 0.5000  12 N 2.75
N1 0.0000 0.0000 0.5000  2 Na 1.94
N2 0.0000 0.5000 0.0000  2 Na 1.94
N3 0.5000 0.0000 0.0000  2 Na 1.94

Summary:
ΔE_f (raw) ... 3.196 eV/atom


[7]
The following is a DFT calculation (GGA-PBE) of Pr2Sm3Dy4 after structural relaxation.

Cell: 10.2312 10.2312 6.1110 Å, 95.64 95.64 69.94°
Closest atoms and distances in Å follow each position.
Fractional coordinates of all 18 atoms:
Pr1 0.0107 0.7753 0.7196  4 Sm 3.38-3.58, 3 Dy 3.41-3.57, 1 Pr 3.56
Pr2 0.2247 0.9893 0.7804  4 Sm 3.38-3.58, 3 Dy 3.41-3.57, 1 Pr 3.56
Pr3 0.7753 0.0107 0.2196  4 Sm 3.38-3.58, 3 Dy 3.41-3.57, 1 Pr 3.56
Pr4 0.9893 0.2247 0.2804  4 Sm 3.38-3.58, 3 Dy 3.41-3.57, 1 Pr 3.56
Sm1 0.1471 0.8529 0.2500  2 Dy 3.47, 6 Pr 3.53-3.58, 2 Sm 3.85
Sm2 0.1858 0.4866 0.4117  1 Pr 3.38, 7 Dy 3.42-3.59
Sm3 0.4866 0.1858 0.9117  1 Pr 3.38, 7 Dy 3.42-3.59
Sm4 0.5134 0.8142 0.0883  1 Pr 3.38, 7 Dy 3.42-3.59
Sm5 0.8142 0.5134 0.5883  1 Pr 3.38, 7 Dy 3.42-3.59
Sm6 0.8529 0.1471 0.7500  2 Dy 3.47, 6 Pr 3.53-3.58, 2 Sm 3.85
Dy1 0.1223 0.3434 0.8696  2 Pr 3.41-3.47, 4 Sm 3.42-3.58, 2 Dy 3.43-3.65
Dy2 0.3306 0.5474 0.9565  3 Dy 3.27-3.43, 4 Sm 3.47-3.59, 1 Pr 3.57
Dy3 0.3434 0.1223 0.3696  2 Pr 3.41-3.47, 4 Sm 3.42-3.58, 2 Dy 3.43-3.65
Dy4 0.4526 0.6694 0.5435  3 Dy 3.27-3.43, 4 Sm 3.47-3.59, 1 Pr 3.57
Dy5 0.5474 0.3306 0.4565  3 Dy 3.27-3.43, 4 Sm 3.47-3.59, 1 Pr 3.57
Dy6 0.6566 0.8777 0.6304  2 Pr 3.41-3.47, 4 Sm 3.42-3.58, 2 Dy 3.43-3.65
Dy7 0.6694 0.4526 0.0435  3 Dy 3.27-3.43, 4 Sm 3.47-3.59, 1 Pr 3.57
Dy8 0.8777 0.6566 0.1304  2 Pr 3.41-3.47, 4 Sm 3.42-3.58, 2 Dy 3.43-3.65

Summary:
Formation enthalpy at 0 K ... 0.09 eV/atom


[8]
The following is a DFT calculation (GGA-PBE) of CaAc2TmO6 after structural relaxation.

Cell: 6.0163 6.2231 10.4932 Å, 90.00 124.61 90.00°
Closest atoms and distances in Å follow each position.
Fractional coordinates of all 20 atoms:
Ca1 0.0000 0.0000 0.0000  6 O 2.34-2.38
Ca2 0.0000 0.5000 0.5000  6 O 2.34-2.38
Ac1 0.2296 0.0537 0.7470  4 O 2.47-2.54
Ac2 0.2296 0.4463 0.2470  4 O 2.47-2.54
Ac3 0.7704 0.5537 0.7530  4 O 2.47-2.54
Ac4 0.7704 0.9463 0.2530  4 O 2.47-2.54
Tm1 0.5000 0.0000 0.5000  6 O 2.22-2.25
Tm2 0.5000 0.5000 0.0000  6 O 2.22-2.25
O1 0.1392 0.1882 0.4393  1 Tm 2.22, 1 Ca 2.34, 1 Ac 2.47
O2 0.1392 0.3118 0.9393  1 Tm 2.22, 1 Ca 2.34, 1 Ac 2.47
O3 0.2405 0.7052 0.4286  1 Tm 2.24, 1 Ca 2.35, 1 Ac 2.47
O4 0.2405 0.7948 0.9286  1 Tm 2.24, 1 Ca 2.35, 1 Ac 2.47
O5 0.3811 0.0619 0.2580  1 Tm 2.25, 1 Ca 2.38, 1 Ac 2.48
O6 0.3811 0.4381 0.7580  1 Tm 2.25, 1 Ca 2.38, 1 Ac 2.48
O7 0.6189 0.5619 0.2420  1 Tm 2.25, 1 Ca 2.38, 1 Ac 2.48
O8 0.6189 0.9381 0.7420  1 Tm 2.25, 1 Ca 2.38, 1 Ac 2.48
O9 0.7595 0.2052 0.0714  1 Tm 2.24, 1 Ca 2.35, 1 Ac 2.47
O10 0.7595 0.2948 0.5714  1 Tm 2.24, 1 Ca 2.35, 1 Ac 2.47
O11 0.8608 0.6882 0.0607  1 Tm 2.22, 1 Ca 2.34, 1 Ac 2.47
O12 0.8608 0.8118 0.5607  1 Tm 2.22, 1 Ca 2.34, 1 Ac 2.47

Summary:
ΔE_f (raw) ... -3.108 eV/atom


[9]
The following is a DFT calculation (GGA-PBE) of LaW2Cl after structural relaxation.

Cell: 2.9916 5.1592 10.0061 Å, 90.00 90.00 90.00°
Closest atoms and distances in Å follow each position.
Fractional coordinates of all 8 atoms:
La1 0.0000 0.0000 0.0000  6 La 2.98-2.99, 4 W 3.17
La2 0.5000 0.5000 0.0000  6 La 2.98-2.99, 4 W 3.17
W1 0.0000 0.5000 0.2788  2 Cl 2.67, 4 W 2.98
W2 0.0000 0.5000 0.7212  2 Cl 2.67, 4 W 2.98
W3 0.5000 0.0000 0.2788  2 Cl 2.67, 4 W 2.98
W4 0.5000 0.0000 0.7212  2 Cl 2.67, 4 W 2.98
Cl1 0.0000 0.0000 0.5000  4 W 2.67, 4 Cl 2.98
Cl2 0.5000 0.5000 0.5000  4 W 2.67, 4 Cl 2.98

Summary:
ΔE_f (raw) ... 0.981 eV/atom


[10]
The following is a DFT calculation (GGA-PBE) of EuTcC2 after structural relaxation.

Cell: 3.2074 3.2074 17.0775 Å, 90.00 90.00 120.00°
Closest atoms and distances in Å follow each position.
Fractional coordinates of all 12 atoms:
Eu1 0.0000 0.0000 0.0000  6 C 2.51
Eu2 0.3333 0.6667 0.6667  6 C 2.51
Eu3 0.6667 0.3333 0.3333  6 C 2.51
Tc1 0.0000 0.0000 0.5000  6 C 2.18
Tc2 0.3333 0.6667 0.1667  6 C 2.18
Tc3 0.6667 0.3333 0.8333  6 C 2.18
C1 0.0000 0.0000 0.2342  3 Tc 2.18
C2 0.0000 0.0000 0.7658  3 Tc 2.18
C3 0.3333 0.6667 0.4325  3 Tc 2.18
C4 0.3333 0.6667 0.9009  3 Tc 2.18
C5 0.6667 0.3333 0.0991  3 Tc 2.18
C6 0.6667 0.3333 0.5675  3 Tc 2.18

Summary:
Formation enthalpy at 0 K ... 0.40 eV/atom


[11]
The following is a DFT calculation (GGA-PBE) of La6YEr after structural relaxation.

Cell: 5.2025 5.2025 10.4055 Å, 90.00 90.00 90.00°
Closest atoms and distances in Å follow each position.
Fractional coordinates of all 8 atoms:
La1 0.0000 0.0000 0.0000  8 La 3.67, 4 Er 3.68
La2 0.0000 0.0000 0.5000  4 Y 3.68, 8 La 3.69
La3 0.0000 0.5000 0.2485  8 La 3.67-3.69, 2 Er 3.67, 2 Y 3.69
La4 0.0000 0.5000 0.7515  8 La 3.67-3.69, 2 Er 3.67, 2 Y 3.69
La5 0.5000 0.0000 0.2485  8 La 3.67-3.69, 2 Er 3.67, 2 Y 3.69
La6 0.5000 0.0000 0.7515  8 La 3.67-3.69, 2 Er 3.67, 2 Y 3.69
Y1 0.5000 0.5000 0.5000  12 La 3.68-3.69
Er1 0.5000 0.5000 0.0000  12 La 3.67-3.68

Summary:
Formation enthalpy at 0 K ... 0.01 eV/atom


[12]
The following is a DFT calculation (GGA-PBE) of Te2PBr after structural relaxation.

Cell: 3.6786 5.2098 12.9069 Å, 90.00 90.00 90.00°
Closest atoms and distances in Å follow each position.
Fractional coordinates of all 8 atoms:
Te1 0.0000 0.0000 0.0000  2 Te 2.95, 4 P 3.25
Te2 0.0000 0.5000 0.1068  2 P 2.71, 2 Te 2.95
Te3 0.5000 0.0000 0.6068  2 P 2.71, 2 Te 2.95
Te4 0.5000 0.5000 0.5000  2 Te 2.95, 4 P 3.25
P1 0.0000 0.0000 0.4531  2 Te 2.71, 2 Br 2.77
P2 0.5000 0.5000 0.9531  2 Te 2.71, 2 Br 2.77
Br1 0.0000 0.5000 0.7930  2 P 2.77
Br2 0.5000 0.0000 0.2930  2 P 2.77

Summary:
ΔE_f (raw) ... 0.231 eV/atom


no.,calculated volume (Å³ per cell)
1,499.66
2,347.94
3,692.38
4,144.13
5,243.00
6,58.54
7,596.53
8,323.34
9,154.43
10,152.15
11,281.64
12,247.36